Density functional theory data (PBE) for a geometry-optimized BaNd2Tm structure.

Geometry as POSCAR:
```
BaNd2Tm
1.0
-0.862 1.520 -3.337
0.493 -3.348 -1.652
-10.422 -2.337 1.628
Tm Ba Nd
1 1 2
direct
0.500 0.500 0.000
0.500 0.500 0.500
0.000 0.000 0.215
0.000 0.000 0.785
```

Computed properties:
Relative energy among the computed polymorphs in meV/atom: 0
E in eV for the cell shown: -15.45

=====

Density functional theory data (PBE) for a geometry-optimized BaNdTm structure.

Geometry as POSCAR:
```
BaNdTm
1.0
3.792 0.000 0.000
-1.896 3.284 0.000
0.000 0.000 9.414
Nd Tm Ba
1 1 1
direct
0.333 0.667 0.642
0.667 0.333 0.352
0.000 0.000 0.006
```

Computed properties:
Relative energy among the computed polymorphs in meV/atom: 13
E in eV for the cell shown: -10.60